Run P
## ZrCrIn2Si (GGA-PBE)

Data for a relaxed ZrCrIn2Si crystal.

Cell and atoms, written as extended XYZ:
```
5
Lattice="5.574 0.000 0.000 0.000 5.574 0.000 0.000 0.000 4.671" Properties=species:S:1:pos:R:3 pbc="T T T"
Zr 0.000 0.000 0.000
Cr 0.000 0.000 2.335
In 0.000 2.787 0.000
In 2.787 0.000 0.000
Si 2.787 2.787 2.335
```

Computed properties:
Its magnetization is 2.67 μB per formula unit.

Run Q
## ZrCrIn2Si (GGA-PBE)

Data for a relaxed ZrCrIn2Si crystal.

Cell and atoms, written as extended XYZ:
```
5
Lattice="4.998 0.000 0.000 0.000 4.998 0.000 0.000 0.000 4.378" Properties=species:S:1:pos:R:3 pbc="T T T"
Zr 0.000 0.000 0.000
Cr 2.499 2.499 0.000
In 0.000 2.499 2.189
In 2.499 0.000 2.189
Si 2.499 2.499 2.189
```

Computed properties:
Its magnetization is 0.00 μB per formula unit.

Which structure is most stable? run Q, by 489 meV/atom over the runner-up.